ScAlFeO4 | GGA+U | relaxed

Results
size of the total moment = 4.0 μB per formula unit
electronic total energy = -108.9 eV for the cell shown

Cell lengths 5.9204, 6.0238, 6.0238 Å; angles 61.19, 60.57, 60.57 degrees
Last column: magnetic moment on the atom in μB.
Positions (direct):
1 Sc 0.0000 0.5000 0.5000  -0.01
2 Sc 0.0000 0.0000 0.0000  -0.01
3 O 0.7502 0.2566 0.2431  0.06
4 O 0.7456 0.2551 0.7551  0.03
5 O 0.2544 0.7449 0.2449  0.03
6 O 0.7557 0.7449 0.2449  0.03
7 O 0.2443 0.2551 0.7551  0.03
8 O 0.2498 0.2569 0.2434  0.06
9 O 0.7502 0.7431 0.7566  0.06
10 O 0.2498 0.7434 0.7569  0.06
11 Al 0.3709 0.3791 0.8791  0.01
12 Al 0.6291 0.6209 0.1209  0.01
13 Fe 0.0000 0.0000 0.5000  3.76
14 Fe 0.5000 0.0000 0.5000  3.76